[1]
## PmSm8Dy5 (GGA-PBE)

Data for PmSm8Dy5 after structural relaxation.

Cell lengths 8.5242, 8.5242, 9.6006 Å; angles 124.22, 124.22, 74.49 degrees
With the nearest neighbours (Å) after each atom.
Fractional coordinates of all 14 atoms:
Pm1 0.0000 0.0000 0.0000  4 Sm 3.21
Sm1 0.0839 0.0906 0.4098  4 Dy 3.18-3.52, 1 Pm 3.21
Sm2 0.1752 0.4741 0.8949  5 Dy 3.36-3.57, 3 Sm 3.63-3.65
Sm3 0.3257 0.3195 0.2359  4 Dy 3.18-3.52, 1 Pm 3.21
Sm4 0.5259 0.8248 0.1051  5 Dy 3.36-3.57, 3 Sm 3.63-3.65
Sm5 0.5790 0.2806 0.7546  5 Dy 3.35-3.58, 3 Sm 3.62-3.65
Sm6 0.6805 0.6743 0.7641  4 Dy 3.18-3.52, 1 Pm 3.21
Sm7 0.7194 0.4210 0.2454  5 Dy 3.35-3.58, 3 Sm 3.62-3.65
Sm8 0.9094 0.9161 0.5902  4 Dy 3.18-3.52, 1 Pm 3.21
Dy1 0.2130 0.5680 0.5970  8 Sm 3.38-3.60, 2 Dy 3.51
Dy2 0.3836 0.0296 0.8163  8 Sm 3.38-3.60, 2 Dy 3.51
Dy3 0.4320 0.7870 0.4030  8 Sm 3.38-3.60, 2 Dy 3.51
Dy4 0.7499 0.2501 0.5000  8 Sm 3.18-3.36
Dy5 0.9704 0.6164 0.1837  8 Sm 3.38-3.60, 2 Dy 3.51

Summary:
**Formation enthalpy at 0 K**: 3.411 eV/f.u.
**Crystal system**: monoclinic
**Symmetry**: C2
**Size of the total moment**: 0.00 μB per atom

---

[2]
## Th2NpAs3Rh4 (GGA-PBE)

Data for Th2NpAs3Rh4 after structural relaxation.

Cell lengths 4.1851, 4.1851, 11.2153 Å; angles 90.00, 90.00, 90.00 degrees
With the nearest neighbours (Å) after each atom.
Fractional coordinates of all 10 atoms:
Th1 0.0000 0.5000 0.2255  4 As 3.16, 8 Rh 3.24-3.28
Th2 0.5000 0.0000 0.7745  4 As 3.16, 8 Rh 3.24-3.28
Np1 0.0000 0.0000 0.5000  4 Rh 2.73, 4 As 2.96
As1 0.0000 0.5000 0.8722  5 Rh 2.43-2.54
As2 0.5000 0.0000 0.1278  5 Rh 2.43-2.54
As3 0.5000 0.5000 0.5000  4 Rh 2.73, 4 Np 2.96
Rh1 0.0000 0.0000 0.0000  4 As 2.54
Rh2 0.0000 0.5000 0.6558  1 As 2.43
Rh3 0.5000 0.0000 0.3442  1 As 2.43
Rh4 0.5000 0.5000 0.0000  4 As 2.54

Summary:
**Formation enthalpy at 0 K**: -8.323 eV/f.u.
**Crystal system**: tetragonal
**Symmetry**: P-4m2
**Size of the total moment**: 0.38 μB per atom